No. 1
# Cu2IrRh

A geometry-optimized Cu2IrRh structure (GGA-PBE, the Alexandria database).

Unit cell a=2.7147 b=4.5579 c=8.8244 alpha=90.00 beta=90.00 gamma=90.00
Closest atoms and distances in Å follow each position.
Atoms (fractional coordinates):
Cu  0.0000  0.0000  0.2488  2 Rh 2.58, 2 Ir 2.60, 6 Cu 2.65-2.71
Cu  0.0000  0.0000  0.7512  2 Rh 2.58, 2 Ir 2.60, 6 Cu 2.65-2.71
Cu  0.5000  0.5000  0.2488  2 Rh 2.58, 2 Ir 2.60, 6 Cu 2.65-2.71
Cu  0.5000  0.5000  0.7512  2 Rh 2.58, 2 Ir 2.60, 6 Cu 2.65-2.71
Ir  0.0000  0.5000  0.5000  4 Cu 2.60, 6 Ir 2.65-2.71
Ir  0.5000  0.0000  0.5000  4 Cu 2.60, 6 Ir 2.65-2.71
Rh  0.0000  0.5000  0.0000  4 Cu 2.58, 6 Rh 2.65-2.71
Rh  0.5000  0.0000  0.0000  4 Cu 2.58, 6 Rh 2.65-2.71

Summary:
* volume: 13.6 A^3/atom
* DOS at the Fermi energy: 6.934 states/eV/f.u.
* symmetry: Cmmm
* energy above the lowest structure with this stoichiometry: 128.0 meV/atom


No. 2
# CuIrRh2

A geometry-optimized CuIrRh2 structure (GGA-PBE, the Alexandria database).

Unit cell a=6.7885 b=6.7885 c=5.3199 alpha=90.00 beta=90.00 gamma=90.00
Closest atoms and distances in Å follow each position.
Atoms (fractional coordinates):
Cu  0.0000  0.0000  0.0000  4 Rh 2.50, 2 Ir 2.66
Cu  0.0000  0.5000  0.2500  4 Rh 2.50, 2 Ir 2.66
Cu  0.5000  0.0000  0.7500  4 Rh 2.50, 2 Ir 2.66
Cu  0.5000  0.5000  0.5000  4 Rh 2.50, 2 Ir 2.66
Ir  0.0000  0.0000  0.5000  4 Rh 2.49, 2 Cu 2.66
Ir  0.0000  0.5000  0.7500  4 Rh 2.49, 2 Cu 2.66
Ir  0.5000  0.0000  0.2500  4 Rh 2.49, 2 Cu 2.66
Ir  0.5000  0.5000  0.0000  4 Rh 2.49, 2 Cu 2.66
Rh  0.2490  0.2500  0.6250  2 Ir 2.49, 2 Cu 2.50, 2 Rh 2.66
Rh  0.2500  0.7490  0.8750  2 Ir 2.49, 2 Cu 2.50, 2 Rh 2.66
Rh  0.2500  0.7510  0.3750  2 Ir 2.49, 2 Cu 2.50, 2 Rh 2.66
Rh  0.2510  0.2500  0.1250  2 Ir 2.49, 2 Cu 2.50, 2 Rh 2.66
Rh  0.7490  0.7500  0.1250  2 Ir 2.49, 2 Cu 2.50, 2 Rh 2.66
Rh  0.7500  0.2490  0.3750  2 Ir 2.49, 2 Cu 2.50, 2 Rh 2.66
Rh  0.7500  0.2510  0.8750  2 Ir 2.49, 2 Cu 2.50, 2 Rh 2.66
Rh  0.7510  0.7500  0.6250  2 Ir 2.49, 2 Cu 2.50, 2 Rh 2.66

Summary:
* volume: 15.3 A^3/atom
* DOS at the Fermi energy: 5.660 states/eV/f.u.
* symmetry: I-42d
* energy above the lowest structure with this stoichiometry: 565.0 meV/atom


No. 3
# CuIrRh2

A geometry-optimized CuIrRh2 structure (GGA-PBE, the Alexandria database).

Unit cell a=2.7401 b=4.5366 c=9.0622 alpha=90.00 beta=90.00 gamma=90.00
Closest atoms and distances in Å follow each position.
Atoms (fractional coordinates):
Cu  0.0000  0.0000  0.0000  4 Ir 2.65, 4 Rh 2.66, 2 Cu 2.74
Cu  0.5000  0.5000  0.5000  4 Ir 2.65, 4 Rh 2.66, 2 Cu 2.74
Ir  0.0000  0.0000  0.5000  4 Rh 2.63, 4 Cu 2.65, 2 Ir 2.74
Ir  0.5000  0.5000  0.0000  4 Rh 2.63, 4 Cu 2.65, 2 Ir 2.74
Rh  0.0000  0.5000  0.2479  2 Ir 2.63, 6 Rh 2.65-2.74, 2 Cu 2.66
Rh  0.0000  0.5000  0.7521  2 Ir 2.63, 6 Rh 2.65-2.74, 2 Cu 2.66
Rh  0.5000  0.0000  0.2521  2 Ir 2.63, 6 Rh 2.65-2.74, 2 Cu 2.66
Rh  0.5000  0.0000  0.7479  2 Ir 2.63, 6 Rh 2.65-2.74, 2 Cu 2.66

Summary:
* volume: 14.1 A^3/atom
* DOS at the Fermi energy: 5.650 states/eV/f.u.
* symmetry: Immm
* energy above the lowest structure with this stoichiometry: 179.3 meV/atom


No. 4
# Cu2IrRh

A geometry-optimized Cu2IrRh structure (GGA-PBE, the Alexandria database).

Unit cell a=2.6876 b=2.6876 c=25.7498 alpha=90.00 beta=90.00 gamma=120.00
Closest atoms and distances in Å follow each position.
Atoms (fractional coordinates):
Cu  0.0000  0.0000  0.2504  3 Rh 2.64, 3 Ir 2.66, 6 Cu 2.69
Cu  0.0000  0.0000  0.7496  3 Rh 2.64, 3 Ir 2.66, 6 Cu 2.69
Cu  0.3333  0.6667  0.4162  3 Rh 2.64, 3 Ir 2.66, 6 Cu 2.69
Cu  0.3333  0.6667  0.9171  3 Rh 2.64, 3 Ir 2.66, 6 Cu 2.69
Cu  0.6667  0.3333  0.0829  3 Rh 2.64, 3 Ir 2.66, 6 Cu 2.69
Cu  0.6667  0.3333  0.5838  3 Rh 2.64, 3 Ir 2.66, 6 Cu 2.69
Ir  0.0000  0.0000  0.5000  6 Cu 2.66, 6 Ir 2.69
Ir  0.3333  0.6667  0.1667  6 Cu 2.66, 6 Ir 2.69
Ir  0.6667  0.3333  0.8333  6 Cu 2.66, 6 Ir 2.69
Rh  0.0000  0.0000  0.0000  6 Cu 2.64, 6 Rh 2.69
Rh  0.3333  0.6667  0.6667  6 Cu 2.64, 6 Rh 2.69
Rh  0.6667  0.3333  0.3333  6 Cu 2.64, 6 Rh 2.69

Summary:
* volume: 13.4 A^3/atom
* DOS at the Fermi energy: 5.423 states/eV/f.u.
* symmetry: R-3m
* energy above the lowest structure with this stoichiometry: 43.2 meV/atom


No. 5
# CuIr2Rh2

A geometry-optimized CuIr2Rh2 structure (GGA-PBE, the Alexandria database).

Unit cell a=2.7199 b=2.7199 c=10.9803 alpha=90.00 beta=90.00 gamma=120.00
Closest atoms and distances in Å follow each position.
Atoms (fractional coordinates):
Cu  0.0000  0.0000  0.0000  6 Rh 2.65, 6 Cu 2.72
Ir  0.3333  0.6667  0.3980  9 Ir 2.72-2.74, 3 Rh 2.73
Ir  0.6667  0.3333  0.6020  9 Ir 2.72-2.74, 3 Rh 2.73
Rh  0.3333  0.6667  0.8050  3 Cu 2.65, 6 Rh 2.72, 3 Ir 2.73
Rh  0.6667  0.3333  0.1950  3 Cu 2.65, 6 Rh 2.72, 3 Ir 2.73

Summary:
* volume: 14.1 A^3/atom
* DOS at the Fermi energy: 6.059 states/eV/f.u.
* symmetry: P-3m1
* energy above the lowest structure with this stoichiometry: 0.0 meV/atom


No. 6
# CuIrRh2

A geometry-optimized CuIrRh2 structure (GGA-PBE, the Alexandria database).

Unit cell a=8.9085 b=2.7239 c=4.6403 alpha=90.00 beta=100.16 gamma=90.00
Closest atoms and distances in Å follow each position.
Atoms (fractional coordinates):
Cu  0.0000  0.0000  0.0000  6 Rh 2.67-2.71, 4 Ir 2.69, 2 Cu 2.72
Cu  0.5000  0.5000  0.0000  6 Rh 2.67-2.71, 4 Ir 2.69, 2 Cu 2.72
Ir  0.0000  0.5000  0.5000  6 Rh 2.68-2.70, 4 Cu 2.69, 2 Ir 2.72
Ir  0.5000  0.0000  0.5000  6 Rh 2.68-2.70, 4 Cu 2.69, 2 Ir 2.72
Rh  0.2479  0.0000  0.7502  3 Cu 2.67-2.71, 3 Ir 2.68-2.70, 6 Rh 2.68-2.72
Rh  0.2521  0.5000  0.2498  3 Cu 2.67-2.71, 3 Ir 2.68-2.70, 6 Rh 2.68-2.72
Rh  0.7479  0.5000  0.7502  3 Cu 2.67-2.71, 3 Ir 2.68-2.70, 6 Rh 2.68-2.72
Rh  0.7521  0.0000  0.2498  3 Cu 2.67-2.71, 3 Ir 2.68-2.70, 6 Rh 2.68-2.72

Summary:
* volume: 13.9 A^3/atom
* DOS at the Fermi energy: 4.648 states/eV/f.u.
* symmetry: C2/m
* energy above the lowest structure with this stoichiometry: 34.1 meV/atom


No. 7
# CuIr2Rh2

A geometry-optimized CuIr2Rh2 structure (GGA-PBE, the Alexandria database).

Unit cell a=4.6726 b=4.6961 c=7.1532 alpha=70.90 beta=83.57 gamma=70.36
Closest atoms and distances in Å follow each position.
Atoms (fractional coordinates):
Cu  0.2502  0.1510  0.1978  6 Rh 2.69-2.71, 6 Ir 2.70-2.72
Cu  0.7498  0.8490  0.8022  6 Rh 2.69-2.71, 6 Ir 2.70-2.72
Ir  0.2503  0.3512  0.7971  7 Rh 2.67-2.72, 3 Cu 2.70-2.71, 2 Ir 2.70
Ir  0.2500  0.9501  0.5996  4 Ir 2.70, 5 Rh 2.70-2.73, 3 Cu 2.71-2.72
Ir  0.7500  0.0499  0.4004  4 Ir 2.70, 5 Rh 2.70-2.73, 3 Cu 2.71-2.72
Ir  0.7497  0.6488  0.2029  7 Rh 2.67-2.72, 3 Cu 2.70-2.71, 2 Ir 2.70
Rh  0.2495  0.5525  0.3950  7 Ir 2.67-2.73, 3 Rh 2.67-2.74, 2 Cu 2.70
Rh  0.2500  0.7504  0.9995  3 Rh 2.67-2.70, 4 Cu 2.69-2.71, 5 Ir 2.70-2.72
Rh  0.7500  0.2496  0.0005  3 Rh 2.67-2.70, 4 Cu 2.69-2.71, 5 Ir 2.70-2.72
Rh  0.7505  0.4475  0.6050  7 Ir 2.67-2.73, 3 Rh 2.67-2.74, 2 Cu 2.70

Summary:
* volume: 14.0 A^3/atom
* DOS at the Fermi energy: 5.643 states/eV/f.u.
* symmetry: P-1
* energy above the lowest structure with this stoichiometry: 0.8 meV/atom


No. 8
# CuIr2Rh5

A geometry-optimized CuIr2Rh5 structure (GGA-PBE, the Alexandria database).

Unit cell a=7.1699 b=7.1699 c=7.1699 alpha=125.16 beta=125.16 gamma=81.28
Closest atoms and distances in Å follow each position.
Atoms (fractional coordinates):
Cu  0.2500  0.2500  0.0000  10 Rh 2.67-2.72
Cu  0.7500  0.7500  0.0000  10 Rh 2.67-2.72
Ir  0.1348  0.6348  0.7696  1 Ir 2.52, 8 Rh 2.57-2.68
Ir  0.3652  0.1348  0.5000  1 Ir 2.52, 8 Rh 2.57-2.68
Ir  0.6348  0.8652  0.5000  1 Ir 2.52, 8 Rh 2.57-2.68
Ir  0.8652  0.3652  0.2304  1 Ir 2.52, 8 Rh 2.57-2.68
Rh  0.0000  0.0000  0.0000  4 Ir 2.57, 2 Cu 2.72
Rh  0.0126  0.8171  0.5000  4 Rh 2.60-2.84, 3 Ir 2.61-2.68, 2 Cu 2.67
Rh  0.1829  0.6829  0.1954  4 Rh 2.60-2.84, 3 Ir 2.61-2.68, 2 Cu 2.67
Rh  0.3171  0.5126  0.5000  4 Rh 2.60-2.84, 3 Ir 2.61-2.68, 2 Cu 2.67
Rh  0.4874  0.9874  0.8046  4 Rh 2.60-2.84, 3 Ir 2.61-2.68, 2 Cu 2.67
Rh  0.5000  0.5000  0.0000  4 Ir 2.57, 2 Cu 2.72
Rh  0.5126  0.0126  0.1954  4 Rh 2.60-2.84, 3 Ir 2.61-2.68, 2 Cu 2.67
Rh  0.6829  0.4874  0.5000  4 Rh 2.60-2.84, 3 Ir 2.61-2.68, 2 Cu 2.67
Rh  0.8171  0.3171  0.8046  4 Rh 2.60-2.84, 3 Ir 2.61-2.68, 2 Cu 2.67
Rh  0.9874  0.1829  0.5000  4 Rh 2.60-2.84, 3 Ir 2.61-2.68, 2 Cu 2.67

Summary:
* volume: 14.8 A^3/atom
* uncorrected energy: -7.045 eV per atom
* DOS at the Fermi energy: 12.970 states/eV/f.u.
* symmetry: I4/mcm


No. 9
# CuIrRh2

A geometry-optimized CuIrRh2 structure (GGA-PBE, the Alexandria database).

Unit cell a=8.8986 b=2.7238 c=4.6539 alpha=90.00 beta=100.42 gamma=90.00
Closest atoms and distances in Å follow each position.
Atoms (fractional coordinates):
Cu  0.0000  0.0000  0.0000  7 Rh 2.65-2.71, 3 Ir 2.69-2.71, 2 Cu 2.72
Cu  0.5000  0.5000  0.0000  7 Rh 2.65-2.71, 3 Ir 2.69-2.71, 2 Cu 2.72
Ir  0.2502  0.0000  0.7439  7 Rh 2.65-2.72, 3 Cu 2.69-2.71, 2 Ir 2.72
Ir  0.7502  0.5000  0.7439  7 Rh 2.65-2.72, 3 Cu 2.69-2.71, 2 Ir 2.72
Rh  0.0033  0.5000  0.5048  3 Ir 2.65-2.69, 4 Cu 2.68-2.71, 5 Rh 2.72
Rh  0.2520  0.5000  0.2392  3 Cu 2.65-2.69, 4 Ir 2.67-2.72, 5 Rh 2.72
Rh  0.5033  0.0000  0.5048  3 Ir 2.65-2.69, 4 Cu 2.68-2.71, 5 Rh 2.72
Rh  0.7520  0.0000  0.2392  3 Cu 2.65-2.69, 4 Ir 2.67-2.72, 5 Rh 2.72

Summary:
* volume: 13.9 A^3/atom
* DOS at the Fermi energy: 4.289 states/eV/f.u.
* symmetry: Cm
* energy above the lowest structure with this stoichiometry: 17.1 meV/atom


No. 10
# Cu2IrRh

A geometry-optimized Cu2IrRh structure (GGA-PBE, the Alexandria database).

Unit cell a=3.8039 b=3.8039 c=7.3837 alpha=90.00 beta=90.00 gamma=90.00
Closest atoms and distances in Å follow each position.
Atoms (fractional coordinates):
Cu  0.0000  0.5000  0.2500  4 Rh 2.65, 4 Ir 2.65, 4 Cu 2.69
Cu  0.0000  0.5000  0.7500  4 Ir 2.65, 4 Rh 2.65, 4 Cu 2.69
Cu  0.5000  0.0000  0.2500  4 Rh 2.65, 4 Ir 2.65, 4 Cu 2.69
Cu  0.5000  0.0000  0.7500  4 Ir 2.65, 4 Rh 2.65, 4 Cu 2.69
Ir  0.0000  0.0000  0.0000  8 Cu 2.65, 4 Rh 2.69
Ir  0.5000  0.5000  0.5000  8 Cu 2.65, 4 Rh 2.69
Rh  0.0000  0.0000  0.5000  8 Cu 2.65, 4 Ir 2.69
Rh  0.5000  0.5000  0.0000  8 Cu 2.65, 4 Ir 2.69

Summary:
* volume: 13.4 A^3/atom
* DOS at the Fermi energy: 6.643 states/eV/f.u.
* symmetry: I4/mmm
* energy above the lowest structure with this stoichiometry: 152.9 meV/atom


No. 11
# Cu2IrRh

A geometry-optimized Cu2IrRh structure (GGA-PBE, the Alexandria database).

Unit cell a=6.0094 b=6.0094 c=6.0094 alpha=90.00 beta=90.00 gamma=90.00
Closest atoms and distances in Å follow each position.
Atoms (fractional coordinates):
Cu  0.0000  0.0000  0.0000  4 Rh 2.60, 4 Cu 2.60
Cu  0.0000  0.5000  0.5000  4 Rh 2.60, 4 Cu 2.60
Cu  0.2500  0.2500  0.2500  4 Cu 2.60, 4 Ir 2.60
Cu  0.2500  0.7500  0.7500  4 Cu 2.60, 4 Ir 2.60
Cu  0.5000  0.0000  0.5000  4 Rh 2.60, 4 Cu 2.60
Cu  0.5000  0.5000  0.0000  4 Rh 2.60, 4 Cu 2.60
Cu  0.7500  0.2500  0.7500  4 Cu 2.60, 4 Ir 2.60
Cu  0.7500  0.7500  0.2500  4 Cu 2.60, 4 Ir 2.60
Ir  0.0000  0.0000  0.5000  4 Cu 2.60, 4 Rh 2.60
Ir  0.0000  0.5000  0.0000  4 Cu 2.60, 4 Rh 2.60
Ir  0.5000  0.0000  0.0000  4 Cu 2.60, 4 Rh 2.60
Ir  0.5000  0.5000  0.5000  4 Cu 2.60, 4 Rh 2.60
Rh  0.2500  0.2500  0.7500  4 Cu 2.60, 4 Ir 2.60
Rh  0.2500  0.7500  0.2500  4 Cu 2.60, 4 Ir 2.60
Rh  0.7500  0.2500  0.2500  4 Cu 2.60, 4 Ir 2.60
Rh  0.7500  0.7500  0.7500  4 Cu 2.60, 4 Ir 2.60

Summary:
* volume: 13.6 A^3/atom
* DOS at the Fermi energy: 5.341 states/eV/f.u.
* symmetry: F-43m
* energy above the lowest structure with this stoichiometry: 180.4 meV/atom


No. 12
# Cu2IrRh4

A geometry-optimized Cu2IrRh4 structure (GGA-PBE, the Alexandria database).

Unit cell a=6.4507 b=6.4507 c=6.4507 alpha=109.23 beta=109.23 gamma=109.96
Closest atoms and distances in Å follow each position.
Atoms (fractional coordinates):
Cu  0.3750  0.0022  0.1272  8 Rh 2.57-2.60
Cu  0.7522  0.6250  0.6272  8 Rh 2.57-2.60
Cu  0.8750  0.2478  0.8728  8 Rh 2.57-2.60
Cu  0.9978  0.1250  0.3728  8 Rh 2.57-2.60
Ir  0.2500  0.7500  0.5000  8 Rh 2.56-2.58
Ir  0.5000  0.5000  0.0000  8 Rh 2.56-2.58
Rh  0.1264  0.0436  0.7485  2 Ir 2.56-2.58, 4 Cu 2.57-2.60, 3 Rh 2.73-2.80
Rh  0.1280  0.5452  0.7515  2 Ir 2.56-2.58, 4 Cu 2.57-2.60, 3 Rh 2.73-2.80
Rh  0.2952  0.3780  0.2515  2 Ir 2.56-2.58, 4 Cu 2.57-2.60, 3 Rh 2.73-2.80
Rh  0.4548  0.2064  0.5828  2 Ir 2.56-2.58, 4 Cu 2.57-2.60, 3 Rh 2.73-2.80
Rh  0.6220  0.8736  0.9172  2 Ir 2.56-2.58, 4 Cu 2.57-2.60, 3 Rh 2.73-2.80
Rh  0.6236  0.8720  0.4172  2 Ir 2.56-2.58, 4 Cu 2.57-2.60, 3 Rh 2.73-2.80
Rh  0.7936  0.3764  0.2485  2 Ir 2.56-2.58, 4 Cu 2.57-2.60, 3 Rh 2.73-2.80
Rh  0.9564  0.7048  0.0828  2 Ir 2.56-2.58, 4 Cu 2.57-2.60, 3 Rh 2.73-2.80

Summary:
* volume: 14.8 A^3/atom
* uncorrected energy: -6.273 eV per atom
* DOS at the Fermi energy: 9.487 states/eV/f.u.
* symmetry: I-42d